VASP calculation (PBE-GGA) on a relaxed structure of CeGaBr5.

Output
formation energy (no corrections)	-1.2531	eV/atom

Cell: 7.7126 7.7126 10.9735 Å, 111.26 111.26 71.40°
Last column: nearest neighbours and their distance in Å.
Fractional positions:
Ce 0.0000 0.0000 0.0000  6 Br 2.74-2.91
Ce 0.0000 0.0000 0.5000  6 Br 2.74-2.91
Ga 0.4989 0.5011 0.7500  4 Br 2.87-3.04
Ga 0.5011 0.4989 0.2500  4 Br 2.87-3.04
Br 0.1077 0.8923 0.7500  2 Ce 2.91
Br 0.1619 0.3108 0.6429  1 Ce 2.74, 1 Ga 3.04
Br 0.2275 0.6476 0.0323  1 Ce 2.79, 1 Ga 2.87
Br 0.3108 0.1619 0.1429  1 Ce 2.74, 1 Ga 3.04
Br 0.3524 0.7725 0.4677  1 Ce 2.79, 1 Ga 2.87
Br 0.6476 0.2275 0.5323  1 Ce 2.79, 1 Ga 2.87
Br 0.6892 0.8381 0.8571  1 Ce 2.74, 1 Ga 3.04
Br 0.7725 0.3524 0.9677  1 Ce 2.79, 1 Ga 2.87
Br 0.8381 0.6892 0.3571  1 Ce 2.74, 1 Ga 3.04
Br 0.8923 0.1077 0.2500  2 Ce 2.91



VASP calculation (PBE-GGA) on a relaxed structure of Tl2PdRuRh.

Output
E_form	6.0	eV/f.u.
Fermi-level density of states	5.73	states/eV per cell

Cell: 5.1052 5.1052 4.8810 Å, 90.00 90.00 90.00°
Last column: nearest neighbours and their distance in Å.
Fractional positions:
Tl 0.0000 0.5000 0.0000  2 Rh 2.55
Tl 0.5000 0.0000 0.0000  2 Rh 2.55
Pd 0.0000 0.0000 0.5000  2 Rh 2.44
Ru 0.5000 0.5000 0.5000  8 Tl 3.53, 4 Pd 3.61
Rh 0.0000 0.0000 0.0000  2 Pd 2.44, 4 Tl 2.55



VASP calculation (PBE-GGA) on a relaxed structure of NbF4.

Output
formation energy (no corrections)	-2.7724	eV/atom
Fermi-level density of states	0.77	states/eV per cell

Cell: 6.6079 6.6079 5.2138 Å, 104.61 104.61 125.20°
Last column: nearest neighbours and their distance in Å.
Fractional positions:
Nb 0.0761 0.9239 0.7500  4 F 1.88-2.10
Nb 0.9239 0.0761 0.2500  4 F 1.88-2.10
F 0.0805 0.4273 0.2668  1 Nb 1.88
F 0.1510 0.2805 0.7311  2 Nb 2.10-2.15
F 0.2805 0.1510 0.2311  2 Nb 2.10-2.15
F 0.4273 0.0805 0.7668  1 Nb 1.88
F 0.5727 0.9195 0.2332  1 Nb 1.88
F 0.7195 0.8490 0.7689  2 Nb 2.10-2.15
F 0.8490 0.7195 0.2689  2 Nb 2.10-2.15
F 0.9195 0.5727 0.7332  1 Nb 1.88



VASP calculation (PBE-GGA) on a relaxed structure of BaTl2Zn.

Output
E_form	-0.8	eV/f.u.
Fermi-level density of states	7.18	states/eV per cell

Cell: 4.9006 4.9006 18.7085 Å, 90.00 90.00 120.00°
Last column: nearest neighbours and their distance in Å.
Fractional positions:
Ba 0.0000 0.0000 0.0000  6 Tl 3.56-3.64, 4 Zn 3.64-3.84
Ba 0.3333 0.6667 0.6667  6 Tl 3.56-3.64, 4 Zn 3.64-3.84
Ba 0.6667 0.3333 0.3333  6 Tl 3.56-3.64, 4 Zn 3.64-3.84
Tl 0.0000 0.0000 0.2180  3 Zn 3.19, 3 Tl 3.35, 3 Ba 3.56
Tl 0.0000 0.0000 0.4556  3 Zn 2.85
Tl 0.3333 0.6667 0.1222  3 Zn 2.85
Tl 0.3333 0.6667 0.8847  3 Zn 3.19, 3 Tl 3.35, 3 Ba 3.56
Tl 0.6667 0.3333 0.5514  3 Zn 3.19, 3 Tl 3.35, 3 Ba 3.56
Tl 0.6667 0.3333 0.7889  3 Zn 2.85
Zn 0.0000 0.0000 0.8056  3 Tl 2.85
Zn 0.3333 0.6667 0.4722  3 Tl 2.85
Zn 0.6667 0.3333 0.1389  3 Tl 2.85



| no. | total moment (μB per cell) | VASP energy (eV/atom) |
| --- | --- | --- |
| 1 | 0.00 | -3.73 |
| 2 | 3.07 | -4.10 |
| 3 | 2.05 | -6.28 |
| 4 | 0.00 | -2.18 |